# 1
Here is an optimized crystal structure of SrAl2Cd from the Alexandria database. Energies are from PBE.

a b c (Å): 7.9393 4.5853 6.3892
angles (deg): 90.00 114.53 90.00
Last column: nearest neighbours and their distance in Å.
Space group C2/m (No. 12)
One atom of each set of equivalent atoms:
Sr 0.0000 0.0000 0.0000 [2 per cell]  8 Al 3.40-3.69
Al 0.2113 0.0000 0.6341 [4 per cell]  3 Cd 2.76, 3 Al 3.07
Cd 0.0000 0.5000 0.5000 [2 per cell]  6 Al 2.76

The spin magnetization is 0.00 μB per atom. For the calculated density, the calculation gives 4.0 g cm⁻³. For the energy relative to the elements, the calculation gives -0.106 eV per atom. As for the calculated volume: 211.6 Å³ per cell.

---

# 2
Here is an optimized crystal structure of SrAlCd3 from the Alexandria database. Energies are from PBE.

a b c (Å): 5.2772 5.2772 5.2772
angles (deg): 90.00 90.00 90.00
Last column: nearest neighbours and their distance in Å.
Space group Pm-3m (No. 221)
One atom of each set of equivalent atoms:
Sr 0.0000 0.0000 0.0000 [1 per cell]  12 Cd 3.73
Al 0.5000 0.5000 0.5000 [1 per cell]  6 Cd 2.64
Cd 0.0000 0.5000 0.5000 [3 per cell]  2 Al 2.64

The spin magnetization is 0.00 μB per atom. For the calculated density, the calculation gives 5.1 g cm⁻³. For the energy relative to the elements, the calculation gives 0.016 eV per atom. The polymorph energy (0 for the lowest one) comes out at 23.54 kJ per mole of atoms. As for the calculated volume: 147.0 Å³ per cell.

---

# 3
Here is an optimized crystal structure of SrAl2Cd from the Alexandria database. Energies are from PBE.

a b c (Å): 4.5515 4.5515 17.8725
angles (deg): 90.00 90.00 120.00
Last column: nearest neighbours and their distance in Å.
Space group R3m (No. 160, hexagonal axes)
One atom of each set of equivalent atoms:
Sr 0.0000 0.0000 0.0000 [3 per cell]  3 Cd 3.39, 7 Al 3.44-3.73
Al 0.0000 0.0000 0.2088 [3 per cell]  3 Al 2.63
Al 0.0000 0.0000 0.5329 [3 per cell]  3 Al 2.63
Cd 0.0000 0.0000 0.7867 [3 per cell]  6 Al 2.99-3.07

The spin magnetization is 0.00 μB per atom. For the calculated density, the calculation gives 3.9 g cm⁻³. For the energy relative to the elements, the calculation gives -0.135 eV per atom. As for the calculated volume: 320.8 Å³ per cell.

---

# 4
Here is an optimized crystal structure of Sr2Al2Cd from the Alexandria database. Energies are from PBE.

a b c (Å): 7.5454 7.5454 5.2068
angles (deg): 90.00 90.00 90.00
Last column: nearest neighbours and their distance in Å.
Space group P4/mbm (No. 127)
One atom of each set of equivalent atoms:
Sr 0.1745 0.3255 0.0000 [4 per cell]  6 Al 3.36-3.47, 1 Sr 3.72
Al 0.1265 0.6265 0.5000 [4 per cell]  1 Al 2.70, 2 Cd 2.98
Cd 0.0000 0.0000 0.5000 [2 per cell]  4 Al 2.98

The spin magnetization is 0.00 μB per atom. For the calculated density, the calculation gives 3.8 g cm⁻³. For the energy relative to the elements, the calculation gives -0.143 eV per atom. The polymorph energy (0 for the lowest one) comes out at 0.00 kJ per mole of atoms. As for the calculated volume: 296.4 Å³ per cell.

---

# 5
Here is an optimized crystal structure of Sr4AlCd2 from the Alexandria database. Energies are from PBE.

a b c (Å): 5.6777 5.6777 27.9984
angles (deg): 90.00 90.00 120.00
Last column: nearest neighbours and their distance in Å.
Space group R-3m (No. 166, hexagonal axes)
One atom of each set of equivalent atoms:
Sr 0.0000 0.0000 0.1236 [6 per cell]  1 Al 3.46, 4 Cd 3.48-3.59
Sr 0.0000 0.0000 0.3741 [6 per cell]  4 Cd 3.43-3.47, 3 Al 3.47
Al 0.0000 0.0000 0.0000 [3 per cell]  8 Sr 3.46-3.47
Cd 0.0000 0.0000 0.2517 [6 per cell]  8 Sr 3.43-3.59

The spin magnetization is 0.00 μB per atom. For the calculated density, the calculation gives 3.8 g cm⁻³. For the energy relative to the elements, the calculation gives -0.193 eV per atom. As for the calculated volume: 781.6 Å³ per cell.

---

# 6
Here is an optimized crystal structure of Sr4AlCd from the Alexandria database. Energies are from PBE.

a b c (Å): 5.6853 5.6853 27.9875
angles (deg): 90.00 90.00 120.00
Last column: nearest neighbours and their distance in Å.
Space group R-3m (No. 166, hexagonal axes)
One atom of each set of equivalent atoms:
Sr 0.0000 0.0000 0.1202 [6 per cell]  1 Al 3.36, 3 Cd 3.53
Sr 0.0000 0.0000 0.3705 [6 per cell]  3 Al 3.44, 1 Cd 3.62
Al 0.0000 0.0000 0.0000 [3 per cell]  8 Sr 3.36-3.44
Cd 0.0000 0.0000 0.5000 [3 per cell]  8 Sr 3.53-3.62

The spin magnetization is 0.00 μB per atom. For the calculated density, the calculation gives 3.1 g cm⁻³. For the energy relative to the elements, the calculation gives -0.049 eV per atom. The polymorph energy (0 for the lowest one) comes out at 10.68 kJ per mole of atoms. As for the calculated volume: 783.5 Å³ per cell.